[1]
! GGA-PBE BaCaPt, optimized geometry; values from VASP
! E_form = -0.607 eV per atom
! SG = F-43m
! Energy = -3.929 eV/atom
! Energy above the lowest structure with this stoichiometry = 70.9 meV per atom
! Crystal system = cubic
&SYSTEM
  ibrav = 0, nat = 3, ntyp = 3
/
ATOMIC_SPECIES
Ba 137.33 Ba.upf
Ca 40.08 Ca.upf
Pt 195.08 Pt.upf
CELL_PARAMETERS angstrom
0.000 3.715 3.715
3.715 0.000 3.715
3.715 3.715 0.000
ATOMIC_POSITIONS crystal
Ba 0.000 0.000 0.000
Ca 0.500 0.500 0.500
Pt 0.750 0.750 0.750

[2]
! GGA-PBE Er3MgTl4, optimized geometry; values from VASP
! E_form = -0.162 eV per atom
! SG = Immm
! Energy = -3.256 eV/atom
! Energy above the lowest structure with this stoichiometry = 90.7 meV per atom
! Crystal system = orthorhombic
&SYSTEM
  ibrav = 0, nat = 8, ntyp = 3
/
ATOMIC_SPECIES
Er 167.26 Er.upf
Mg 24.30 Mg.upf
Tl 204.38 Tl.upf
CELL_PARAMETERS angstrom
-1.733 3.403 9.377
1.733 -3.403 9.377
1.733 3.403 -9.377
ATOMIC_POSITIONS crystal
Er 0.000 0.000 0.000
Er 0.269 0.769 0.500
Er 0.731 0.231 0.500
Mg 0.500 0.500 0.000
Tl 0.112 0.377 0.735
Tl 0.358 0.623 0.735
Tl 0.642 0.377 0.265
Tl 0.888 0.623 0.265

[3]
! GGA-PBE Al2HN, optimized geometry; values from VASP
! SG = I-42d
! Energy = -4.975 eV/atom
! Energy above the lowest structure with this stoichiometry = 0.0 meV per atom
! Crystal system = tetragonal
&SYSTEM
  ibrav = 0, nat = 8, ntyp = 3
/
ATOMIC_SPECIES
Al 26.98 Al.upf
H 1.01 H.upf
N 14.01 N.upf
CELL_PARAMETERS angstrom
-2.251 2.251 4.406
2.251 -2.251 4.406
2.251 2.251 -4.406
ATOMIC_POSITIONS crystal
Al 0.113 0.625 0.988
Al 0.375 0.363 0.488
Al 0.637 0.125 0.012
Al 0.875 0.887 0.512
H 0.250 0.750 0.500
H 0.500 0.500 0.000
N 0.000 0.000 0.000
N 0.750 0.250 0.500